[1]
YTa2Rh2: relaxed, GGA-PBEsol.

a = 4.373 Å, b = 4.373 Å, c = 6.005 Å
α = 111.35°, β = 111.35°, γ = 90.00°
Positions (direct):
1 Rh 0.625 0.625 0.250
2 Rh 0.375 0.375 0.750
3 Y 0.000 0.000 0.000
4 Ta 0.250 0.750 0.500
5 Ta 0.750 0.250 0.500

Computed properties:
DOS(E_F): 0.6404 states/eV/atom
total magnetic moment: 0.0 μB per formula unit
formation energy: -386 meV per atom
SG: No. 139
volume: 19.7 Å³/atom


[2]
YTa3Rh: relaxed, GGA-PBEsol.

a = 4.719 Å, b = 4.719 Å, c = 4.719 Å
α = 90.00°, β = 90.00°, γ = 90.00°
Positions (direct):
1 Rh 0.500 0.500 0.500
2 Ta 0.000 0.500 0.000
3 Ta 0.500 0.000 0.000
4 Ta 0.000 0.000 0.500
5 Y 0.000 0.000 0.000

Computed properties:
DOS(E_F): 1.7514 states/eV/atom
total magnetic moment: 0.0 μB per formula unit
formation energy: 2543 meV per atom
SG: No. 221
volume: 21.0 Å³/atom


- Which of these has the highest formation energy?
  YTa3Rh